Tm4CuNi2 | PBE-GGA | optimized geometry

Cell lengths 5.7850, 5.7850, 5.7850 Å; angles 109.56, 109.56, 109.30 degrees
Closest atoms and distances in Å follow each position.
Fractional positions:
1 Tm 0.0000 0.0000 0.5000  4 Ni 2.89, 2 Cu 2.89
2 Tm 0.0000 0.5000 0.0000  4 Ni 2.89, 2 Cu 2.89
3 Tm 0.5000 0.0000 0.0000  4 Ni 2.89, 2 Cu 2.89
4 Tm 0.5000 0.5000 0.5000  4 Ni 2.89, 2 Cu 2.89
5 Cu 0.0000 0.0000 0.0000  8 Tm 2.89
6 Ni 0.0000 0.5000 0.5000  8 Tm 2.89
7 Ni 0.5000 0.0000 0.5000  8 Tm 2.89

Summary:
The spin magnetization comes out at 0.0 μB/cell. The formation energy comes out at -277 meV/atom. As for the space group: I4/mmm (139). Its energy above the most stable polymorph in this dataset is 4 meV per atom. The calculation puts the density of states at the Fermi level at 0.62 states/eV per atom.

=====

TmCu11Ni | PBE-GGA | optimized geometry

Cell lengths 6.4533, 6.4533, 6.3571 Å; angles 97.72, 97.72, 136.24 degrees
Closest atoms and distances in Å follow each position.
Fractional positions:
1 Tm 0.0000 0.0000 0.0000  18 Cu 2.98-3.23, 2 Ni 3.18
2 Cu 0.0000 0.5000 0.0000  10 Cu 2.40-2.59
3 Cu 0.0071 0.6559 0.6440  8 Cu 2.47-2.69, 1 Ni 2.54
4 Cu 0.2798 0.4994 0.7794  9 Cu 2.42-2.69, 1 Ni 2.45
5 Cu 0.3441 0.9929 0.3560  8 Cu 2.47-2.69, 1 Ni 2.54
6 Cu 0.4994 0.2798 0.7794  9 Cu 2.42-2.69, 1 Ni 2.45
7 Cu 0.5000 0.0000 0.0000  10 Cu 2.40-2.59
8 Cu 0.5000 0.5000 0.5000  2 Ni 2.40, 8 Cu 2.42-2.60
9 Cu 0.5006 0.7202 0.2206  9 Cu 2.42-2.69, 1 Ni 2.45
10 Cu 0.6559 0.0071 0.6440  8 Cu 2.47-2.69, 1 Ni 2.54
11 Cu 0.7202 0.5006 0.2206  9 Cu 2.42-2.69, 1 Ni 2.45
12 Cu 0.9929 0.3441 0.3560  8 Cu 2.47-2.69, 1 Ni 2.54
13 Ni 0.0000 0.0000 0.5000  10 Cu 2.40-2.54

Summary:
The spin magnetization comes out at 0.0 μB/cell. The formation energy comes out at -95 meV/atom. As for the space group: C2/m (12). The calculation puts the density of states at the Fermi level at 0.35 states/eV per atom.

=====

TmCu3Ni2 | PBE-GGA | optimized geometry

Cell lengths 7.1529, 7.1529, 7.1529 Å; angles 44.97, 44.97, 44.97 degrees
Closest atoms and distances in Å follow each position.
Fractional positions:
1 Tm 0.2237 0.2237 0.2237  3 Ni 2.64, 9 Cu 2.74-2.83
2 Tm 0.7763 0.7763 0.7763  3 Ni 2.64, 9 Cu 2.74-2.83
3 Cu 0.2464 0.7201 0.7201  3 Ni 2.53-2.61, 4 Cu 2.59-2.82, 3 Tm 2.74-2.83
4 Cu 0.2799 0.2799 0.7536  3 Ni 2.53-2.61, 4 Cu 2.59-2.82, 3 Tm 2.74-2.83
5 Cu 0.2799 0.7536 0.2799  3 Ni 2.53-2.61, 4 Cu 2.59-2.82, 3 Tm 2.74-2.83
6 Cu 0.7201 0.2464 0.7201  3 Ni 2.53-2.61, 4 Cu 2.59-2.82, 3 Tm 2.74-2.83
7 Cu 0.7201 0.7201 0.2464  3 Ni 2.53-2.61, 4 Cu 2.59-2.82, 3 Tm 2.74-2.83
8 Cu 0.7536 0.2799 0.2799  3 Ni 2.53-2.61, 4 Cu 2.59-2.82, 3 Tm 2.74-2.83
9 Ni 0.0000 0.0000 0.0000  6 Cu 2.61, 6 Ni 2.74
10 Ni 0.0000 0.5000 0.5000  4 Cu 2.53, 2 Tm 2.64, 6 Ni 2.74
11 Ni 0.5000 0.0000 0.5000  4 Cu 2.53, 2 Tm 2.64, 6 Ni 2.74
12 Ni 0.5000 0.5000 0.0000  4 Cu 2.53, 2 Tm 2.64, 6 Ni 2.74

Summary:
The spin magnetization comes out at 0.0 μB/cell. The formation energy comes out at -40 meV/atom. As for the space group: R-3m (166). The calculation puts the density of states at the Fermi level at 0.92 states/eV per atom.